(1)
{
  "formula": "SrCa2Re",
  "functional": "PBE",
  "state": "optimized geometry",
  "crystal_system": "tetragonal",
  "space_group": "No. 123",
  "magmom_total_mub_per_cell": 1.896,
  "e_above_lowest_polymorph_ev_per_fu": 0.00,
  "formation_enthalpy_0k_ev_per_atom": 0.681,
  "total_energy_ev_per_atom": -3.853,
  "lattice": [[3.5321, 0.0000, 0.0000], [0.0000, 3.5321, 0.0000], [0.0000, 0.0000, 10.3420]],
  "species": ["Sr", "Ca", "Ca", "Re"],
  "frac_coords": [[0.0000, 0.0000, 0.0000], [0.5000, 0.5000, 0.3266], [0.5000, 0.5000, 0.6734], [0.0000, 0.0000, 0.5000]]
}



(2)
{
  "formula": "AcZn2Ni4",
  "functional": "PBE",
  "state": "optimized geometry",
  "crystal_system": "tetragonal",
  "space_group": "No. 139",
  "magmom_total_mub_per_cell": 0.001,
  "formation_enthalpy_0k_ev_per_atom": 0.164,
  "total_energy_ev_per_atom": -4.091,
  "lattice": [[-3.4644, 3.4644, 2.7987], [3.4644, -3.4644, 2.7987], [3.4644, 3.4644, -2.7987]],
  "species": ["Ac", "Zn", "Zn", "Ni", "Ni", "Ni", "Ni"],
  "frac_coords": [[0.0000, 0.0000, 0.0000], [0.2500, 0.7500, 0.5000], [0.7500, 0.2500, 0.5000], [0.2720, 0.5000, 0.7720], [0.5000, 0.2720, 0.7720], [0.5000, 0.7280, 0.2280], [0.7280, 0.5000, 0.2280]]
}



> Which formula does entry 1 have?

SrCa2Re



Repeat the second record exactly.
{
  "formula": "AcZn2Ni4",
  "functional": "PBE",
  "state": "optimized geometry",
  "crystal_system": "tetragonal",
  "space_group": "No. 139",
  "magmom_total_mub_per_cell": 0.001,
  "formation_enthalpy_0k_ev_per_atom": 0.164,
  "total_energy_ev_per_atom": -4.091,
  "lattice": [[-3.4644, 3.4644, 2.7987], [3.4644, -3.4644, 2.7987], [3.4644, 3.4644, -2.7987]],
  "species": ["Ac", "Zn", "Zn", "Ni", "Ni", "Ni", "Ni"],
  "frac_coords": [[0.0000, 0.0000, 0.0000], [0.2500, 0.7500, 0.5000], [0.7500, 0.2500, 0.5000], [0.2720, 0.5000, 0.7720], [0.5000, 0.2720, 0.7720], [0.5000, 0.7280, 0.2280], [0.7280, 0.5000, 0.2280]]
}